Material: Na3SrTl3
Method: DFT, PBE
State: relaxed

Lattice parameters (Å, degrees): 9.5567 9.5567 5.5191 90.00 90.00 120.00
Space group P6_3/m (No. 176)
Symmetry-distinct sites (fractional):
Na1 0.0038 0.7722 0.2500 (multiplicity 6)
Sr1 0.3333 0.6667 0.2500 (multiplicity 2)
Tl1 0.0871 0.6135 0.7500 (multiplicity 6)

Polymorph energy (0 for the lowest one) = 0.0 meV per atom
Formation enthalpy at 0 K = -17 kJ/mol of atoms
Density = 5.855 Mg/m³
Total magnetic moment = 0.000 μB/f.u.

Material: Na2SrTl5
Method: DFT, PBE
State: relaxed

Lattice parameters (Å, degrees): 5.2331 5.2331 17.4272 90.00 90.00 90.00
Space group I4/mmm (No. 139)
Symmetry-distinct sites (fractional):
Na1 0.0000 0.0000 0.2486 (multiplicity 4)
Sr1 0.0000 0.0000 0.0000 (multiplicity 2)
Tl1 0.0000 0.0000 0.5000 (multiplicity 2)
Tl2 0.0000 0.5000 0.1316 (multiplicity 8)

Polymorph energy (0 for the lowest one) = 0.0 meV per atom
Formation enthalpy at 0 K = -17 kJ/mol of atoms
Density = 8.041 Mg/m³
Total magnetic moment = 0.000 μB/f.u.

Material: Na2Sr2Tl3
Method: DFT, PBE
State: relaxed

Lattice parameters (Å, degrees): 4.0946 29.1087 3.9817 90.00 90.00 90.00
Space group Cmmm (No. 65)
Symmetry-distinct sites (fractional):
Na1 0.0000 0.2024 0.0000 (multiplicity 4)
Sr1 0.0000 0.0709 0.0000 (multiplicity 4)
Tl1 0.0000 0.3564 0.5000 (multiplicity 4)
Tl2 0.0000 0.5000 0.5000 (multiplicity 2)

Formation enthalpy at 0 K = -25 kJ/mol of atoms
Density = 5.839 Mg/m³
Total magnetic moment = 0.000 μB/f.u.

Material: Na2SrTl7
Method: DFT, PBE
State: relaxed

Lattice parameters (Å, degrees): 5.3907 5.3907 12.5106 90.00 90.00 120.00
Space group P3m1 (No. 156)
Symmetry-distinct sites (fractional):
Na1 0.0000 0.0000 0.0000 (multiplicity 1)
Na2 0.3333 0.6667 0.5876 (multiplicity 1)
Sr1 0.6667 0.3333 0.3718 (multiplicity 1)
Tl1 0.0000 0.0000 0.2469 (multiplicity 1)
Tl2 0.0000 0.0000 0.5048 (multiplicity 1)
Tl3 0.0000 0.0000 0.7560 (multiplicity 1)
Tl4 0.3333 0.6667 0.1669 (multiplicity 1)
Tl5 0.3333 0.6667 0.8746 (multiplicity 1)
Tl6 0.6667 0.3333 0.0503 (multiplicity 1)
Tl7 0.6667 0.3333 0.6830 (multiplicity 1)

Formation enthalpy at 0 K = -10 kJ/mol of atoms
Density = 8.250 Mg/m³
Total magnetic moment = 0.000 μB/f.u.

- Number 4 is which compound?
  Na2SrTl7